A geometry-optimized K3NaHf2S6 structure. Source: OQMD, functional PBE.

Values from the calculation:
SG ... C2/m
V ... 24.029 Å³ per atom
Crystal system ... monoclinic
M_tot ... 0.0 μB per formula unit
Total DFT energy (no corrections) ... -67.254 eV per formula unit

a = 6.766 Å, b = 6.766 Å, c = 7.623 Å
α = 98.54°, β = 98.54°, γ = 120.07°
Fractional coordinates of all 12 atoms:
K: 0.000 0.000 0.000
K: 0.344 0.656 0.000
K: 0.656 0.344 0.000
Na: 0.500 0.500 0.500
Hf: 0.168 0.832 0.500
Hf: 0.832 0.168 0.500
S: 0.066 0.434 0.303
S: 0.199 0.199 0.694
S: 0.434 0.066 0.303
S: 0.566 0.934 0.697
S: 0.801 0.801 0.306
S: 0.934 0.566 0.697

=====

A geometry-optimized KNaHfS3 structure. Source: OQMD, functional PBE.

Values from the calculation:
SG ... Pnma
V ... 25.528 Å³ per atom
Crystal system ... orthorhombic
M_tot ... 0.0 μB per formula unit
Polymorph energy (0 for the lowest one) ... 140 meV per atom
Total DFT energy (no corrections) ... -32.803 eV per formula unit

a = 14.522 Å, b = 3.843 Å, c = 10.978 Å
α = 90.00°, β = 90.00°, γ = 90.00°
Fractional coordinates of all 24 atoms:
K: 0.240 0.250 0.008
K: 0.260 0.750 0.508
K: 0.740 0.250 0.492
K: 0.760 0.750 0.992
Na: 0.032 0.750 0.915
Na: 0.468 0.250 0.415
Na: 0.532 0.750 0.585
Na: 0.968 0.250 0.085
Hf: 0.008 0.250 0.657
Hf: 0.492 0.750 0.157
Hf: 0.508 0.250 0.843
Hf: 0.992 0.750 0.343
S: 0.085 0.750 0.154
S: 0.090 0.250 0.440
S: 0.119 0.750 0.713
S: 0.381 0.250 0.213
S: 0.410 0.750 0.940
S: 0.415 0.250 0.654
S: 0.585 0.750 0.346
S: 0.590 0.250 0.060
S: 0.619 0.750 0.787
S: 0.881 0.250 0.287
S: 0.910 0.750 0.560
S: 0.915 0.250 0.846

=====

A geometry-optimized KNaHfS3 structure. Source: OQMD, functional PBE.

Values from the calculation:
SG ... P2_1/m
V ... 23.221 Å³ per atom
Crystal system ... monoclinic
M_tot ... 0.0 μB per formula unit
Polymorph energy (0 for the lowest one) ... 39 meV per atom
Total DFT energy (no corrections) ... -33.410 eV per formula unit

a = 7.568 Å, b = 3.800 Å, c = 9.716 Å
α = 90.00°, β = 94.19°, γ = 90.00°
Fractional coordinates of all 12 atoms:
K: 0.077 0.250 0.159
K: 0.923 0.750 0.841
Na: 0.252 0.750 0.491
Na: 0.748 0.250 0.509
Hf: 0.407 0.250 0.818
Hf: 0.593 0.750 0.182
S: 0.136 0.250 0.674
S: 0.311 0.750 0.983
S: 0.443 0.250 0.309
S: 0.557 0.750 0.691
S: 0.689 0.250 0.017
S: 0.864 0.750 0.326

=====

A geometry-optimized K3NaHf2Se6 structure. Source: OQMD, functional PBE.

Values from the calculation:
SG ... C2/m
V ... 27.442 Å³ per atom
Crystal system ... monoclinic
M_tot ... 0.0 μB per formula unit
Total DFT energy (no corrections) ... -61.616 eV per formula unit

a = 7.082 Å, b = 7.082 Å, c = 7.951 Å
α = 98.56°, β = 98.56°, γ = 120.10°
Fractional coordinates of all 12 atoms:
K: 0.000 0.000 0.000
K: 0.344 0.656 0.000
K: 0.656 0.344 0.000
Na: 0.500 0.500 0.500
Hf: 0.168 0.832 0.500
Hf: 0.832 0.168 0.500
Se: 0.067 0.433 0.300
Se: 0.201 0.201 0.696
Se: 0.433 0.067 0.300
Se: 0.567 0.933 0.700
Se: 0.799 0.799 0.304
Se: 0.933 0.567 0.700

=====

A geometry-optimized KNdHf structure. Source: OQMD, functional PBE.

Values from the calculation:
SG ... F-43m
V ... 35.672 Å³ per atom
Crystal system ... cubic
M_tot ... 0.1 μB per formula unit
Total DFT energy (no corrections) ... -10.652 eV per formula unit

a = 5.329 Å, b = 5.329 Å, c = 5.329 Å
α = 60.00°, β = 60.00°, γ = 60.00°
Fractional coordinates of all 3 atoms:
K: 0.000 0.000 0.000
Nd: 0.250 0.250 0.250
Hf: 0.750 0.750 0.750

=====

A geometry-optimized KHfNi structure. Source: OQMD, functional PBE.

Values from the calculation:
SG ... F-43m
V ... 24.201 Å³ per atom
Crystal system ... cubic
M_tot ... 0.0 μB per formula unit
Polymorph energy (0 for the lowest one) ... 0 meV per atom
Total DFT energy (no corrections) ... -13.418 eV per formula unit

a = 4.683 Å, b = 4.683 Å, c = 4.683 Å
α = 60.00°, β = 60.00°, γ = 60.00°
Fractional coordinates of all 3 atoms:
K: 0.000 0.000 0.000
Hf: 0.500 0.500 0.500
Ni: 0.750 0.750 0.750

=====

A geometry-optimized KHfNi structure. Source: OQMD, functional PBE.

Values from the calculation:
SG ... F-43m
V ... 22.144 Å³ per atom
Crystal system ... cubic
M_tot ... 0.0 μB per formula unit
Polymorph energy (0 for the lowest one) ... 912 meV per atom
Total DFT energy (no corrections) ... -10.682 eV per formula unit

a = 4.546 Å, b = 4.546 Å, c = 4.546 Å
α = 60.00°, β = 60.00°, γ = 60.00°
Fractional coordinates of all 3 atoms:
K: 0.000 0.000 0.000
Hf: 0.750 0.750 0.750
Ni: 0.250 0.250 0.250

=====

A geometry-optimized KHfO3 structure. Source: OQMD, functional PBE.

Values from the calculation:
SG ... Pnma
V ... 15.673 Å³ per atom
Crystal system ... orthorhombic
M_tot ... 1.0 μB per formula unit
Total DFT energy (no corrections) ... -37.648 eV per formula unit

a = 6.409 Å, b = 7.111 Å, c = 6.878 Å
α = 90.00°, β = 90.00°, γ = 90.00°
Fractional coordinates of all 20 atoms:
K: 0.000 0.000 0.000
K: 0.000 0.500 0.000
K: 0.500 0.000 0.500
K: 0.500 0.500 0.500
Hf: 0.015 0.250 0.419
Hf: 0.485 0.750 0.919
Hf: 0.515 0.250 0.081
Hf: 0.985 0.750 0.581
O: 0.078 0.558 0.377
O: 0.078 0.942 0.377
O: 0.201 0.750 0.779
O: 0.299 0.250 0.279
O: 0.422 0.058 0.877
O: 0.422 0.442 0.877
O: 0.578 0.558 0.123
O: 0.578 0.942 0.123
O: 0.701 0.750 0.721
O: 0.799 0.250 0.221
O: 0.922 0.058 0.623
O: 0.922 0.442 0.623

=====

A geometry-optimized KHfO3 structure. Source: OQMD, functional PBE.

Values from the calculation:
SG ... R-3
V ... 16.254 Å³ per atom
Crystal system ... trigonal
M_tot ... 1.0 μB per formula unit
Total DFT energy (no corrections) ... -38.195 eV per formula unit

a = 6.545 Å, b = 6.545 Å, c = 6.545 Å
α = 52.32°, β = 52.32°, γ = 52.32°
Fractional coordinates of all 10 atoms:
K: 0.131 0.131 0.131
K: 0.869 0.869 0.869
Hf: 0.338 0.338 0.338
Hf: 0.662 0.662 0.662
O: 0.060 0.650 0.493
O: 0.350 0.507 0.940
O: 0.493 0.060 0.650
O: 0.507 0.940 0.350
O: 0.650 0.493 0.060
O: 0.940 0.350 0.507

=====

A geometry-optimized KHfPO structure. Source: OQMD, functional PBE.

Values from the calculation:
SG ... P4/nmm
V ... 17.011 Å³ per atom
Crystal system ... tetragonal
M_tot ... 0.0 μB per formula unit
Polymorph energy (0 for the lowest one) ... 429 meV per atom
Total DFT energy (no corrections) ... -26.373 eV per formula unit

a = 3.717 Å, b = 3.717 Å, c = 9.849 Å
α = 90.00°, β = 90.00°, γ = 90.00°
Fractional coordinates of all 8 atoms:
K: 0.250 0.750 0.000
K: 0.750 0.250 0.000
Hf: 0.250 0.250 0.382
Hf: 0.750 0.750 0.618
P: 0.250 0.250 0.755
P: 0.750 0.750 0.245
O: 0.250 0.750 0.500
O: 0.750 0.250 0.500

=====

A geometry-optimized KHfPO structure. Source: OQMD, functional PBE.

Values from the calculation:
SG ... Pmc2_1
V ... 25.742 Å³ per atom
Crystal system ... orthorhombic
M_tot ... 0.0 μB per formula unit
Polymorph energy (0 for the lowest one) ... 0 meV per atom
Total DFT energy (no corrections) ... -28.091 eV per formula unit

a = 3.993 Å, b = 8.165 Å, c = 6.317 Å
α = 90.00°, β = 90.00°, γ = 90.00°
Fractional coordinates of all 8 atoms:
K: 0.000 0.175 0.000
K: 0.000 0.825 0.500
Hf: 0.500 0.388 0.575
Hf: 0.500 0.612 0.075
P: 0.000 0.220 0.490
P: 0.000 0.780 0.990
O: 0.500 0.416 0.889
O: 0.500 0.584 0.389

=====

A geometry-optimized KHfPO structure. Source: OQMD, functional PBE.

Values from the calculation:
SG ... Pmc2_1
V ... 23.834 Å³ per atom
Crystal system ... orthorhombic
M_tot ... 0.0 μB per formula unit
Polymorph energy (0 for the lowest one) ... 235 meV per atom
Total DFT energy (no corrections) ... -27.152 eV per formula unit

a = 3.610 Å, b = 7.056 Å, c = 7.486 Å
α = 90.00°, β = 90.00°, γ = 90.00°
Fractional coordinates of all 8 atoms:
K: 0.000 0.139 0.000
K: 0.000 0.861 0.500
Hf: 0.500 0.339 0.410
Hf: 0.500 0.661 0.910
P: 0.500 0.368 0.735
P: 0.500 0.632 0.235
O: 0.000 0.216 0.355
O: 0.000 0.784 0.855